Record 1
## AlSbPt2 (PBE-GGA)

Data for a geometry-optimized AlSbPt2 structure.

a b c (Å): 3.6428 3.6428 5.3680
angles (deg): 90.00 90.00 90.00
Closest atoms and distances in Å follow each position.
Fractional coordinates of all 4 atoms:
Al (0.0000, 0.0000, 0.0000)  6 Pt 2.60-2.77
Sb (0.5000, 0.5000, 0.6482)  6 Pt 2.65-2.72
Pt (0.0000, 0.0000, 0.4843)  2 Al 2.60-2.77, 4 Sb 2.72
Pt (0.5000, 0.5000, 0.1414)  2 Sb 2.65-2.72, 4 Al 2.69

**Symmetry**: P4mm
**Energy relative to the lowest polymorph listed for this composition**: 0 kJ/mol of formula units
**ΔE_f (raw)**: -548.7 meV/atom

Record 2
## YTm5Ni2 (PBE-GGA)

Data for a geometry-optimized YTm5Ni2 structure.

a b c (Å): 6.2990 6.2990 14.2996
angles (deg): 90.00 90.00 134.63
Closest atoms and distances in Å follow each position.
Fractional coordinates of all 16 atoms:
Y (0.1233, 0.8767, 0.7500)  4 Ni 3.23, 5 Tm 3.30-3.46
Y (0.8767, 0.1233, 0.2500)  4 Ni 3.23, 5 Tm 3.30-3.46
Tm (0.1546, 0.8454, 0.5204)  3 Ni 2.68-2.74
Tm (0.1546, 0.8454, 0.9796)  3 Ni 2.68-2.74
Tm (0.1748, 0.8252, 0.2500)  2 Ni 2.67
Tm (0.4524, 0.5476, 0.6211)  1 Ni 2.62
Tm (0.4524, 0.5476, 0.8789)  1 Ni 2.62
Tm (0.5476, 0.4524, 0.1211)  1 Ni 2.62
Tm (0.5476, 0.4524, 0.3789)  1 Ni 2.62
Tm (0.8252, 0.1748, 0.7500)  2 Ni 2.67
Tm (0.8454, 0.1546, 0.0204)  3 Ni 2.68-2.74
Tm (0.8454, 0.1546, 0.4796)  3 Ni 2.68-2.74
Ni (0.3231, 0.6769, 0.1072)  5 Tm 2.62-2.74
Ni (0.3231, 0.6769, 0.3928)  5 Tm 2.62-2.74
Ni (0.6769, 0.3231, 0.6072)  5 Tm 2.62-2.74
Ni (0.6769, 0.3231, 0.8928)  5 Tm 2.62-2.74

**Symmetry**: Cmcm
**Energy of formation from the pure elements**: -17.36 kJ/mol of atoms

Record 3
## Dy3Tm4Pd4 (PBE-GGA)

Data for a geometry-optimized Dy3Tm4Pd4 structure.

a b c (Å): 9.3846 9.3846 9.3846
angles (deg): 156.84 123.00 62.35
Closest atoms and distances in Å follow each position.
Fractional coordinates of all 11 atoms:
Dy (0.0000, 0.0000, 0.0000)  4 Pd 3.33, 8 Tm 3.64
Dy (0.3968, 0.8968, 0.5000)  6 Pd 3.01-3.05, 1 Dy 3.31
Dy (0.6032, 0.1032, 0.5000)  6 Pd 3.01-3.05, 1 Dy 3.31
Tm (0.0216, 0.3358, 0.6859)  4 Pd 2.85-3.13
Tm (0.3501, 0.6642, 0.6859)  4 Pd 2.85-3.13
Tm (0.6499, 0.3358, 0.3141)  4 Pd 2.85-3.13
Tm (0.9784, 0.6642, 0.3141)  4 Pd 2.85-3.13
Pd (0.2503, 0.2503, 0.0000)  6 Tm 2.87-3.13, 2 Dy 3.01
Pd (0.3067, 0.5000, 0.8067)  2 Tm 2.85, 4 Dy 3.05
Pd (0.6933, 0.5000, 0.1933)  2 Tm 2.85, 4 Dy 3.05
Pd (0.7497, 0.7497, 0.0000)  6 Tm 2.87-3.13, 2 Dy 3.01

**Symmetry**: Immm
**Energy of formation from the pure elements**: -59.57 kJ/mol of atoms

Record 4
## AlReRu2 (PBE-GGA)

Data for a geometry-optimized AlReRu2 structure.

a b c (Å): 2.7317 2.7317 8.5528
angles (deg): 90.00 90.00 115.49
Closest atoms and distances in Å follow each position.
Fractional coordinates of all 4 atoms:
Al (0.0000, 0.0000, 0.0000)  4 Ru 2.53, 4 Al 2.73
Re (0.0000, 0.0000, 0.5000)  4 Ru 2.64, 6 Re 2.73-2.92
Ru (0.5000, 0.5000, 0.2421)  2 Al 2.53, 2 Re 2.64, 4 Ru 2.73
Ru (0.5000, 0.5000, 0.7579)  2 Al 2.53, 2 Re 2.64, 4 Ru 2.73

**Symmetry**: Cmmm
**Energy of formation from the pure elements**: 4.44 kJ/mol of atoms

Number 1: total energy -5.535 eV per atom. Number 2: total energy -5.228 eV per atom. Number 3: total energy -5.387 eV per atom. Number 4: total energy -8.640 eV per atom.